Entry 1:
This record from the Alexandria database describes TeOsPt2 after structural relaxation. The functional is GGA-PBE.

Properties
* calculated volume: 212.5 Å³/cell
* total magnetic moment: 0.0 μB per formula unit
* final energy: -6.16 eV/atom
* formation energy from raw total energies: 453.6 meV/atom

Cell lengths 2.9112, 2.9112, 28.9472 Å; angles 90.00, 90.00, 120.00 degrees
With the nearest neighbours (Å) after each atom.
Fractional coordinates of all 12 atoms:
Te: 0.0000 0.0000 0.0000  6 Te 2.91, 6 Pt 3.17
Te: 0.3333 0.6667 0.6667  6 Te 2.91, 6 Pt 3.17
Te: 0.6667 0.3333 0.3333  6 Te 2.91, 6 Pt 3.17
Os: 0.0000 0.0000 0.5000  6 Pt 2.72, 6 Os 2.91
Os: 0.3333 0.6667 0.1667  6 Pt 2.72, 6 Os 2.91
Os: 0.6667 0.3333 0.8333  6 Pt 2.72, 6 Os 2.91
Pt: 0.0000 0.0000 0.2406  3 Os 2.72, 6 Pt 2.91
Pt: 0.0000 0.0000 0.7594  3 Os 2.72, 6 Pt 2.91
Pt: 0.3333 0.6667 0.4261  3 Os 2.72, 6 Pt 2.91
Pt: 0.3333 0.6667 0.9072  3 Os 2.72, 6 Pt 2.91
Pt: 0.6667 0.3333 0.0928  3 Os 2.72, 6 Pt 2.91
Pt: 0.6667 0.3333 0.5739  3 Os 2.72, 6 Pt 2.91

=====

Entry 2:
This record from the Alexandria database describes Te2OsPt after structural relaxation. The functional is GGA-PBE.

Properties
* calculated volume: 188.9 Å³/cell
* polymorph energy (0 for the lowest one): 0 meV/atom
* total magnetic moment: 0.5 μB per formula unit
* final energy: -5.67 eV/atom
* formation energy from raw total energies: 215.7 meV/atom

Cell lengths 7.0106, 4.0504, 7.0518 Å; angles 90.00, 109.41, 90.00 degrees
With the nearest neighbours (Å) after each atom.
Fractional coordinates of all 8 atoms:
Te: 0.0000 0.0000 0.0000  3 Os 2.73
Te: 0.1930 0.0000 0.5779  3 Pt 2.68
Te: 0.5000 0.5000 0.0000  3 Os 2.73
Te: 0.6930 0.5000 0.5779  3 Pt 2.68
Os: 0.2377 0.5000 0.2128  3 Pt 2.59, 3 Te 2.73
Os: 0.7377 0.0000 0.2128  3 Pt 2.59, 3 Te 2.73
Pt: 0.4604 0.0000 0.3803  3 Os 2.59, 3 Te 2.68
Pt: 0.9604 0.5000 0.3803  3 Os 2.59, 3 Te 2.68

=====

Entry 3:
This record from the Alexandria database describes TeOsPt2 after structural relaxation. The functional is GGA-PBE.

Properties
* calculated volume: 140.9 Å³/cell
* total magnetic moment: 0.0 μB per formula unit
* final energy: -5.97 eV/atom
* formation energy from raw total energies: 644.2 meV/atom

Cell lengths 2.8923, 5.0217, 9.7037 Å; angles 90.00, 90.00, 90.00 degrees
With the nearest neighbours (Å) after each atom.
Fractional coordinates of all 8 atoms:
Te: 0.0000 0.0000 0.0000  2 Os 2.81, 6 Te 2.89-2.90, 2 Pt 3.05
Te: 0.5000 0.5000 0.0000  2 Os 2.81, 6 Te 2.89-2.90, 2 Pt 3.05
Os: 0.0000 0.5000 0.7517  2 Pt 2.67, 2 Te 2.81, 6 Os 2.89-2.90
Os: 0.5000 0.0000 0.7517  2 Pt 2.67, 2 Te 2.81, 6 Os 2.89-2.90
Pt: 0.0000 0.0000 0.5209  2 Os 2.67, 8 Pt 2.78-2.90
Pt: 0.0000 0.5000 0.2764  8 Pt 2.78-2.90, 2 Te 3.05
Pt: 0.5000 0.0000 0.2764  8 Pt 2.78-2.90, 2 Te 3.05
Pt: 0.5000 0.5000 0.5209  2 Os 2.67, 8 Pt 2.78-2.90

=====

Entry 4:
This record from the Alexandria database describes TeOsPt2 after structural relaxation. The functional is GGA-PBE.

Properties
* calculated volume: 71.2 Å³/cell
* total magnetic moment: 0.0 μB per formula unit
* final energy: -6.23 eV/atom
* formation energy from raw total energies: 382.6 meV/atom

Cell lengths 2.8979, 2.8979, 8.4776 Å; angles 90.00, 90.00, 90.00 degrees
With the nearest neighbours (Å) after each atom.
Fractional coordinates of all 4 atoms:
Te: 0.0000 0.0000 0.0000  4 Te 2.90, 8 Pt 3.17
Os: 0.0000 0.0000 0.5000  8 Pt 2.74, 4 Os 2.90
Pt: 0.5000 0.5000 0.2858  4 Os 2.74, 4 Pt 2.90
Pt: 0.5000 0.5000 0.7142  4 Os 2.74, 4 Pt 2.90

=====

Entry 5:
This record from the Alexandria database describes Te2OsPt after structural relaxation. The functional is GGA-PBE.

Properties
* calculated volume: 165.4 Å³/cell
* polymorph energy (0 for the lowest one): 171 meV/atom
* total magnetic moment: 0.0 μB per formula unit
* final energy: -5.50 eV/atom
* formation energy from raw total energies: 387.0 meV/atom

Cell lengths 7.0364, 3.3958, 7.0771 Å; angles 90.00, 102.06, 90.00 degrees
With the nearest neighbours (Å) after each atom.
Fractional coordinates of all 8 atoms:
Te: 0.2422 0.0000 0.2380  3 Os 2.72, 3 Pt 2.77-2.86
Te: 0.2578 0.5000 0.7620  3 Os 2.72, 3 Pt 2.77-2.86
Te: 0.7422 0.5000 0.2380  3 Os 2.72, 3 Pt 2.77-2.86
Te: 0.7578 0.0000 0.7620  3 Os 2.72, 3 Pt 2.77-2.86
Os: 0.0000 0.5000 0.0000  6 Te 2.72
Os: 0.5000 0.0000 0.0000  6 Te 2.72
Pt: 0.0000 0.0000 0.5000  6 Te 2.77-2.86
Pt: 0.5000 0.5000 0.5000  6 Te 2.77-2.86

=====

Entry 6:
This record from the Alexandria database describes Te2OsPt after structural relaxation. The functional is GGA-PBE.

Properties
* calculated volume: 169.1 Å³/cell
* polymorph energy (0 for the lowest one): 246 meV/atom
* total magnetic moment: 0.0 μB per formula unit
* final energy: -5.43 eV/atom
* formation energy from raw total energies: 461.3 meV/atom

Cell lengths 3.1761, 4.2774, 12.4459 Å; angles 90.00, 90.00, 90.00 degrees
With the nearest neighbours (Å) after each atom.
Fractional coordinates of all 8 atoms:
Te: 0.0000 0.0000 0.0000  2 Os 2.70
Te: 0.0000 0.5000 0.2306  4 Os 2.75, 2 Pt 2.83
Te: 0.5000 0.0000 0.7306  4 Os 2.75, 2 Pt 2.83
Te: 0.5000 0.5000 0.5000  2 Os 2.70
Os: 0.0000 0.5000 0.6750  6 Te 2.70-2.75, 2 Pt 3.00
Os: 0.5000 0.0000 0.1750  6 Te 2.70-2.75, 2 Pt 3.00
Pt: 0.0000 0.0000 0.3791  6 Te 2.83-3.06, 2 Os 3.00
Pt: 0.5000 0.5000 0.8791  6 Te 2.83-3.06, 2 Os 3.00